<a>
This record from Alexandria describes crystalline TiZn2Au8 at its relaxed geometry. The functional is PBE.

The value obtained for the spin magnetization is 1.0 μB/cell.

It has space group C2/m (No. 12), with a = 8.4889 Å, b = 11.3000 Å, c = 4.0965 Å, α = 90.00°, β = 91.29° and γ = 90.00°. The distinct sites, in fractional coordinates, are Ti at (0.0000, 0.0000, 0.0000), Zn at (0.0000, 0.3844, 0.5000), Au at (0.0000, 0.2476, 0.0000), Au at (0.1680, 0.5000, 0.9946) and Au at (0.1721, 0.1312, 0.5040).

---

<b>
This record from Alexandria describes crystalline TiZn2Au8 at its relaxed geometry. The functional is PBE.

The value obtained for the spin magnetization is 0.0 μB/cell.

It has space group C2/m (No. 12), with a = 14.5369 Å, b = 4.0854 Å, c = 6.6628 Å, α = 90.00°, β = 107.18° and γ = 90.00°. The distinct sites, in fractional coordinates, are Ti at (0.0000, 0.0000, 0.0000), Zn at (0.2231, 0.5000, 0.6511), Au at (0.0423, 0.5000, 0.7326), Au at (0.1026, 0.0000, 0.4542), Au at (0.1402, 0.5000, 0.1916) and Au at (0.1779, 0.0000, 0.9107).

---

Energies relative to the minimum, kJ/mol of atoms: <a> 5.9; <b> 0.0

---

<a>
This record from Alexandria describes crystalline ZrTiAu2 at its relaxed geometry. The functional is PBE.

The value obtained for the spin magnetization is 0.4 μB/cell.

It has space group P4/mmm (No. 123), with a = 3.2253 Å, b = 3.2253 Å, c = 7.1982 Å, α = 90.00°, β = 90.00° and γ = 90.00°. The distinct sites, in fractional coordinates, are Zr at (0.0000, 0.0000, 0.0000), Ti at (0.0000, 0.0000, 0.5000) and Au at (0.5000, 0.5000, 0.2762).

---

<b>
This record from Alexandria describes crystalline ZrTiAu2 at its relaxed geometry. The functional is PBE.

The value obtained for the spin magnetization is 1.2 μB/cell.

It has space group P4/mmm (No. 123), with a = 4.3236 Å, b = 4.3236 Å, c = 3.9977 Å, α = 90.00°, β = 90.00° and γ = 90.00°. The distinct sites, in fractional coordinates, are Zr at (0.0000, 0.0000, 0.0000), Ti at (0.5000, 0.5000, 0.0000) and Au at (0.0000, 0.5000, 0.5000).

---

<c>
This record from Alexandria describes crystalline ZrTiAu2 at its relaxed geometry. The functional is PBE.

The value obtained for the spin magnetization is 7.8 μB/cell.

It has space group Fm-3m (No. 225), with a = 6.7368 Å, b = 6.7368 Å, c = 6.7368 Å, α = 90.00°, β = 90.00° and γ = 90.00°. The distinct sites, in fractional coordinates, are Zr at (0.0000, 0.0000, 0.0000), Ti at (0.0000, 0.0000, 0.5000) and Au at (0.2500, 0.2500, 0.2500).

---

<d>
This record from Alexandria describes crystalline ZrTiAu2 at its relaxed geometry. The functional is PBE.

The value obtained for the spin magnetization is 0.0 μB/cell.

It has space group Immm (No. 71), with a = 2.8642 Å, b = 4.7859 Å, c = 11.9254 Å, α = 90.00°, β = 90.00° and γ = 90.00°. The distinct sites, in fractional coordinates, are Zr at (0.0000, 0.0000, 0.0000), Ti at (0.0000, 0.0000, 0.5000) and Au at (0.0000, 0.0000, 0.2840).

---

Energies relative to the minimum, kJ/mol of atoms: <a> 0.0; <b> 1.3; <c> 2.8; <d> 69.7

---

<a>
This record from Alexandria describes crystalline Zr2Ti2Au at its relaxed geometry. The functional is PBE.

The value obtained for the spin magnetization is 0.0 μB/cell.

It has space group I4/mmm (No. 139), with a = 4.0381 Å, b = 4.0381 Å, c = 12.6510 Å, α = 90.00°, β = 90.00° and γ = 90.00°. The distinct sites, in fractional coordinates, are Zr at (0.0000, 0.5000, 0.2500), Ti at (0.0000, 0.0000, 0.0819) and Au at (0.0000, 0.0000, 0.5000).

---

<b>
This record from Alexandria describes crystalline Zr2Ti2Au at its relaxed geometry. The functional is PBE.

The value obtained for the spin magnetization is 0.0 μB/cell.

It has space group P4/mbm (No. 127), with a = 6.9977 Å, b = 6.9977 Å, c = 4.0430 Å, α = 90.00°, β = 90.00° and γ = 90.00°. The distinct sites, in fractional coordinates, are Zr at (0.1636, 0.3364, 0.0000), Ti at (0.1358, 0.6358, 0.5000) and Au at (0.0000, 0.0000, 0.5000).

---

Energies relative to the minimum, kJ/mol of atoms: <a> 55.9; <b> 0.0

---

<a>
This record from Alexandria describes crystalline TlAu5 at its relaxed geometry. The functional is PBE.

The value obtained for the spin magnetization is 0.0 μB/cell.

It has space group P4/mmm (No. 123), with a = 3.5072 Å, b = 3.5072 Å, c = 9.6816 Å, α = 90.00°, β = 90.00° and γ = 90.00°. The distinct sites, in fractional coordinates, are Tl at (0.0000, 0.0000, 0.0000), Au at (0.0000, 0.0000, 0.3461), Au at (0.5000, 0.5000, 0.1960) and Au at (0.5000, 0.5000, 0.5000).

---

<b>
This record from Alexandria describes crystalline TlAu5 at its relaxed geometry. The functional is PBE.

The value obtained for the spin magnetization is 0.0 μB/cell.

It has space group P-62m (No. 189), with a = 5.2077 Å, b = 5.2077 Å, c = 4.9258 Å, α = 90.00°, β = 90.00° and γ = 120.00°. The distinct sites, in fractional coordinates, are Tl at (0.0000, 0.0000, 0.0000), Au at (0.0000, 0.6512, 0.5000) and Au at (0.3333, 0.6667, 0.0000).

---

Energies relative to the minimum, kJ/mol of atoms: <a> 0.6; <b> 0.0